[1]
Entry from Alexandria via LeMat-Bulk: crystalline AlNiRu2 at its relaxed geometry (PBE).

Summary:
Spin magnetization ... 0.0000 μB/atom
Formation energy ... -0.2216 eV per atom

Cell lengths 8.7790, 2.7921, 4.4216 Å; angles 90.00, 102.58, 90.00 degrees
Closest atoms and distances in Å follow each position.
Space group Cm (No. 8)
Inequivalent atoms, fractional coordinates:
1 Al 0.0000 0.0000 0.0000 (multiplicity 2)  3 Ni 2.55-2.62, 7 Ru 2.59-2.73, 2 Al 2.79
2 Ni 0.2433 0.5000 0.2130 (multiplicity 2)  3 Al 2.55-2.62, 7 Ru 2.61-2.71, 2 Ni 2.79
3 Ru 0.2455 0.0000 0.7124 (multiplicity 2)  5 Ru 2.60-2.79, 4 Ni 2.61-2.62, 3 Al 2.71-2.73
4 Ru 0.4964 0.0000 0.4912 (multiplicity 2)  4 Al 2.59-2.64, 5 Ru 2.60-2.79, 3 Ni 2.69-2.71

=====

[2]
Entry from Alexandria via LeMat-Bulk: crystalline AlNi2Ru2 at its relaxed geometry (PBE).

Summary:
E above lowest polymorph ... 0.00 kcal/mol of atoms
Spin magnetization ... 0.3482 μB/atom
Formation energy ... 0.0763 eV per atom

Cell lengths 5.8899, 5.8899, 3.7926 Å; angles 90.00, 90.00, 90.00 degrees
Closest atoms and distances in Å follow each position.
Space group P4/mbm (No. 127)
Inequivalent atoms, fractional coordinates:
1 Al 0.0000 0.0000 0.0000 (multiplicity 2)  4 Ni 2.29
2 Ni 0.1355 0.3645 0.0000 (multiplicity 4)  1 Ni 2.26, 2 Al 2.29, 2 Ru 2.53
3 Ru 0.1638 0.6638 0.5000 (multiplicity 4)  6 Ni 2.53-2.59, 1 Ru 2.73

=====

[3]
Entry from Alexandria via LeMat-Bulk: crystalline Al2NiRu at its relaxed geometry (PBE).

Summary:
E above lowest polymorph ... 4.62 kcal/mol of atoms
Spin magnetization ... 0.0003 μB/atom
Formation energy ... -0.5367 eV per atom

Cell lengths 9.1102, 2.9804, 4.1216 Å; angles 90.00, 108.94, 90.00 degrees
Closest atoms and distances in Å follow each position.
Space group Cm (No. 8)
Inequivalent atoms, fractional coordinates:
1 Al 0.0000 0.0000 0.0000 (multiplicity 2)  4 Ni 2.52-2.57, 3 Ru 2.58-2.62
2 Al 0.2317 0.0000 0.6532 (multiplicity 2)  3 Ni 2.53-2.66, 4 Ru 2.54-2.55, 3 Al 2.82-2.83
3 Ni 0.4948 0.0000 0.5034 (multiplicity 2)  7 Al 2.52-2.66, 2 Ru 2.71
4 Ru 0.2438 0.5000 0.1607 (multiplicity 2)  7 Al 2.54-2.62, 2 Ni 2.71

=====

[4]
Entry from Alexandria via LeMat-Bulk: crystalline AlNi2Ru at its relaxed geometry (PBE).

Summary:
Spin magnetization ... 0.1109 μB/atom
Formation energy ... -0.0962 eV per atom

Cell lengths 2.6800, 2.6800, 24.3215 Å; angles 90.00, 90.00, 120.00 degrees
Closest atoms and distances in Å follow each position.
Space group R3m (No. 160, hexagonal axes)
Inequivalent atoms, fractional coordinates:
1 Al 0.0000 0.0000 0.0000 (multiplicity 3)  3 Ni 2.47, 3 Ru 2.63, 6 Al 2.68
2 Ni 0.0000 0.0000 0.2542 (multiplicity 3)  3 Al 2.47, 9 Ni 2.52-2.68
3 Ni 0.0000 0.0000 0.5056 (multiplicity 3)  9 Ni 2.52-2.68, 3 Ru 2.58
4 Ru 0.0000 0.0000 0.7539 (multiplicity 3)  3 Ni 2.58, 3 Al 2.63, 6 Ru 2.68

=====

[5]
Entry from Alexandria via LeMat-Bulk: crystalline Al4NiRu at its relaxed geometry (PBE).

Summary:
E above lowest polymorph ... 9.64 kcal/mol of atoms
Spin magnetization ... 0.0000 μB/atom
Formation energy ... 0.0308 eV per atom

Cell lengths 7.0002, 7.0002, 7.0002 Å; angles 90.00, 90.00, 90.00 degrees
Closest atoms and distances in Å follow each position.
Space group F-43m (No. 216)
Inequivalent atoms, fractional coordinates:
1 Al 0.1251 0.1251 0.1251 (multiplicity 16)  6 Al 2.47-2.48
2 Ni 0.2500 0.2500 0.7500 (multiplicity 4)  12 Al 2.90, 4 Ru 3.03
3 Ru 0.0000 0.0000 0.5000 (multiplicity 4)  12 Al 2.90, 4 Ni 3.03

=====

[6]
Entry from Alexandria via LeMat-Bulk: crystalline AlNi2Ru at its relaxed geometry (PBE).

Summary:
Spin magnetization ... 0.3016 μB/atom
Formation energy ... -0.2311 eV per atom

Cell lengths 3.0368, 4.0147, 8.1129 Å; angles 90.00, 90.00, 90.00 degrees
Closest atoms and distances in Å follow each position.
Space group Immm (No. 71)
Inequivalent atoms, fractional coordinates:
1 Al 0.0000 0.0000 0.0000 (multiplicity 2)  4 Ni 2.48, 4 Ru 2.52
2 Ni 0.0000 0.5000 0.2580 (multiplicity 4)  2 Al 2.48, 4 Ni 2.52, 2 Ru 2.59
3 Ru 0.0000 0.0000 0.5000 (multiplicity 2)  4 Al 2.52, 8 Ni 2.59-2.81

=====

[7]
Entry from Alexandria via LeMat-Bulk: crystalline Al2NiRu at its relaxed geometry (PBE).

Summary:
E above lowest polymorph ... 0.72 kcal/mol of atoms
Spin magnetization ... 0.0000 μB/atom
Formation energy ... -0.7061 eV per atom

Cell lengths 3.0042, 3.0042, 5.7282 Å; angles 90.00, 90.00, 90.00 degrees
Closest atoms and distances in Å follow each position.
Space group P4/mmm (No. 123)
Inequivalent atoms, fractional coordinates:
1 Al 0.0000 0.0000 0.2492 (multiplicity 2)  4 Ru 2.56, 4 Ni 2.56, 1 Al 2.86
2 Ni 0.5000 0.5000 0.5000 (multiplicity 1)  8 Al 2.56, 2 Ru 2.86
3 Ru 0.5000 0.5000 0.0000 (multiplicity 1)  8 Al 2.56, 2 Ni 2.86

=====

[8]
Entry from Alexandria via LeMat-Bulk: crystalline AlNi2Ru at its relaxed geometry (PBE).

Summary:
Spin magnetization ... 0.0000 μB/atom
Formation energy ... -0.1984 eV per atom

Cell lengths 2.7544, 4.2818, 8.3993 Å; angles 90.00, 90.00, 90.00 degrees
Closest atoms and distances in Å follow each position.
Space group Imm2 (No. 44)
Inequivalent atoms, fractional coordinates:
1 Al 0.0000 0.0000 0.0000 (multiplicity 2)  6 Ni 2.43-2.55, 2 Ru 2.58
2 Ni 0.0000 0.0000 0.4837 (multiplicity 2)  4 Ni 2.48-2.75, 4 Al 2.55, 2 Ru 2.56
3 Ni 0.0000 0.5000 0.7384 (multiplicity 2)  2 Al 2.43, 2 Ni 2.48, 4 Ru 2.55
4 Ru 0.0000 0.5000 0.2407 (multiplicity 2)  6 Ni 2.55-2.56, 2 Al 2.58, 2 Ru 2.75

=====

[9]
Entry from Alexandria via LeMat-Bulk: crystalline AlNiRu2 at its relaxed geometry (PBE).

Summary:
Spin magnetization ... 0.0000 μB/atom
Formation energy ... -0.2305 eV per atom

Cell lengths 2.9912, 4.1835, 8.3309 Å; angles 90.00, 90.00, 90.00 degrees
Closest atoms and distances in Å follow each position.
Space group Imm2 (No. 44)
Inequivalent atoms, fractional coordinates:
1 Al 0.0000 0.0000 0.0000 (multiplicity 2)  2 Ni 2.42, 6 Ru 2.57
2 Ni 0.0000 0.5000 0.7279 (multiplicity 2)  2 Al 2.42, 6 Ru 2.58-2.63
3 Ru 0.0000 0.0000 0.4878 (multiplicity 2)  4 Al 2.57, 2 Ni 2.63, 2 Ru 2.64
4 Ru 0.0000 0.5000 0.2496 (multiplicity 2)  2 Al 2.57, 4 Ni 2.58, 2 Ru 2.64

=====

[10]
Entry from Alexandria via LeMat-Bulk: crystalline AlNiRu3 at its relaxed geometry (PBE).

Summary:
E above lowest polymorph ... 0.00 kcal/mol of atoms
Spin magnetization ... 1.0509 μB/atom
Formation energy ... 1.2504 eV per atom

Cell lengths 4.4375, 4.4375, 4.4375 Å; angles 90.00, 90.00, 90.00 degrees
Closest atoms and distances in Å follow each position.
Space group Pm-3m (No. 221)
Inequivalent atoms, fractional coordinates:
1 Al 0.0000 0.0000 0.0000 (multiplicity 1)  12 Ru 3.14
2 Ni 0.5000 0.5000 0.5000 (multiplicity 1)  6 Ru 2.22
3 Ru 0.0000 0.5000 0.5000 (multiplicity 3)  2 Ni 2.22

=====

[11]
Entry from Alexandria via LeMat-Bulk: crystalline AlNiRu2 at its relaxed geometry (PBE).

Summary:
Spin magnetization ... 0.0604 μB/atom
Formation energy ... 0.3733 eV per atom

Cell lengths 6.7470, 6.7470, 5.0642 Å; angles 90.00, 90.00, 90.00 degrees
Closest atoms and distances in Å follow each position.
Space group I-42d (No. 122)
Inequivalent atoms, fractional coordinates:
1 Al 0.0000 0.0000 0.0000 (multiplicity 4)  4 Ru 2.50, 2 Ni 2.53
2 Ni 0.0000 0.0000 0.5000 (multiplicity 4)  4 Ru 2.43, 2 Al 2.53
3 Ru 0.2423 0.7500 0.6250 (multiplicity 8)  2 Ni 2.43, 2 Al 2.50, 2 Ru 2.53

=====

[12]
Entry from Alexandria via LeMat-Bulk: crystalline AlNiRu2 at its relaxed geometry (PBE).

Summary:
Spin magnetization ... 0.2509 μB/atom
Formation energy ... -0.0541 eV per atom

Cell lengths 2.7308, 2.7308, 24.9360 Å; angles 90.00, 90.00, 120.00 degrees
Closest atoms and distances in Å follow each position.
Space group R-3m (No. 166, hexagonal axes)
Inequivalent atoms, fractional coordinates:
1 Al 0.0000 0.0000 0.0000 (multiplicity 3)  6 Ru 2.62, 6 Al 2.73
2 Ni 0.0000 0.0000 0.5000 (multiplicity 3)  6 Ru 2.60, 6 Ni 2.73
3 Ru 0.0000 0.0000 0.2495 (multiplicity 6)  3 Ni 2.60, 3 Al 2.62, 6 Ru 2.73

=====

[13]
Entry from Alexandria via LeMat-Bulk: crystalline AlNi2Ru at its relaxed geometry (PBE).

Summary:
Spin magnetization ... 0.0002 μB/atom
Formation energy ... -0.2337 eV per atom

Cell lengths 5.1320, 7.3445, 2.6225 Å; angles 90.00, 90.00, 90.00 degrees
Closest atoms and distances in Å follow each position.
Space group Cmmm (No. 65)
Inequivalent atoms, fractional coordinates:
1 Al 0.0000 0.0000 0.0000 (multiplicity 2)  2 Ru 2.57, 8 Ni 2.60, 2 Al 2.62
2 Ni 0.2500 0.2500 0.5000 (multiplicity 4)  4 Ni 2.57-2.62, 4 Al 2.60, 4 Ru 2.60
3 Ru 0.0000 0.5000 0.0000 (multiplicity 2)  2 Al 2.57, 8 Ni 2.60, 2 Ru 2.62

=====

[14]
Entry from Alexandria via LeMat-Bulk: crystalline Al2NiRu at its relaxed geometry (PBE).

Summary:
E above lowest polymorph ... 8.63 kcal/mol of atoms
Spin magnetization ... 0.0000 μB/atom
Formation energy ... -0.3629 eV per atom

Cell lengths 3.1251, 4.4980, 7.6389 Å; angles 90.00, 90.00, 90.00 degrees
Closest atoms and distances in Å follow each position.
Space group Cmmm (No. 65)
Inequivalent atoms, fractional coordinates:
1 Al 0.0000 0.0000 0.2412 (multiplicity 4)  2 Ni 2.42, 2 Ru 2.52
2 Ni 0.0000 0.5000 0.0000 (multiplicity 2)  4 Al 2.42
3 Ru 0.0000 0.5000 0.5000 (multiplicity 2)  4 Al 2.52, 4 Ru 2.74